{
  "formula": "AcPuNb2O8",
  "functional": "PBE",
  "state": "optimized geometry",
  "e_tot_ev_per_cell": -113.39,
  "space_group": "I-4, No. 82",
  "formation_energy_uncorrected_ev_per_atom": -2.93,
  "dos_ef_per_ev_cell": 12.46,
  "total_magnetization_mub_per_cell": 5.00,
  "lattice": [[-5.364, -1.048, 0.045], [0.863, -4.541, -2.917], [2.892, -0.274, 6.403]],
  "species": ["Ac", "Pu", "Nb", "Nb", "O", "O", "O", "O", "O", "O", "O", "O"],
  "fractional_positions": [[0.750, 0.250, 0.500], [0.000, 0.000, 0.000], [0.500, 0.500, 0.000], [0.250, 0.750, 0.500], [0.753, 0.827, 0.167], [0.414, 0.340, 0.167], [0.587, 0.688, 0.678], [0.092, 0.990, 0.678], [0.010, 0.413, 0.322], [0.312, 0.908, 0.322], [0.173, 0.586, 0.833], [0.660, 0.247, 0.833]]
}